(1)
# TbPm3Y7 (PBE-GGA, relaxed)
# Magnetization   0.03 μB per atom
# Energy of formation from the pure elements   261 meV per atom
# Volume   33.814 Å³/atom
data_TbPm3Y7
_symmetry_space_group_name_H-M 'I m m m'
_symmetry_Int_Tables_number 71
_symmetry_space_group_name_Hall '-I 2 2'
_cell_length_a 5.869
_cell_length_b 11.186
_cell_length_c 11.331
_cell_angle_alpha 90.00
_cell_angle_beta 90.00
_cell_angle_gamma 90.00
loop_
_atom_site_label
_atom_site_fract_x
_atom_site_fract_y
_atom_site_fract_z
Tb1 0.000 0.000 0.000
Pm1 0.000 0.000 0.500
Pm2 0.000 0.500 0.212
Y1 0.000 0.204 0.301
Y2 0.000 0.295 0.000
Y3 0.000 0.500 0.500

=====

(2)
# Cd4In5Hg4 (PBE-GGA, relaxed)
# Magnetization   0.00 μB per atom
# Energy of formation from the pure elements   18 meV per atom
# Volume   25.088 Å³/atom
data_Cd4In5Hg4
_symmetry_space_group_name_H-M 'I 4/m'
_symmetry_Int_Tables_number 87
_symmetry_space_group_name_Hall '-I 4'
_cell_length_a 11.637
_cell_length_b 11.637
_cell_length_c 4.817
_cell_angle_alpha 90.00
_cell_angle_beta 90.00
_cell_angle_gamma 90.00
loop_
_atom_site_label
_atom_site_fract_x
_atom_site_fract_y
_atom_site_fract_z
Cd1 0.075 0.614 0.000
In1 0.000 0.000 0.000
In2 0.042 0.802 0.500
Hg1 0.152 0.231 0.000

=====

> Which of these has the lowest magnetization?

Cd4In5Hg4

=====

> Number 1 is which compound?

TbPm3Y7